First-principles (PBE) data for crystalline LiMnTe at its relaxed geometry, as listed in Alexandria. Values from VASP.

The structure in Quantum ESPRESSO input format:
```
&SYSTEM
  ibrav = 0, nat = 3, ntyp = 3
/
ATOMIC_SPECIES
Te 127.60 Te.upf
Li 6.94 Li.upf
Mn 54.94 Mn.upf
CELL_PARAMETERS angstrom
-3.515 1.785 -2.136
2.130 -3.535 -1.752
-2.468 -2.475 1.993
ATOMIC_POSITIONS angstrom
Te -1.144 -3.158 -0.756
Li -2.414 -2.421 1.949
Mn -2.763 -1.122 -1.096
```

Properties
ρ: 4.5 g/cm3
symmetry: No. 156
N(E_F): 2.0 states/eV/cell
spin magnetization: 4.01 μB/f.u.
offset from the most stable computed form: 0.139 eV/atom
formation energy (no corrections): -5.2 kJ per mole of atoms

=====

First-principles (PBE) data for crystalline Pr7PtI12 at its relaxed geometry, as listed in Alexandria. Values from VASP.

The structure in Quantum ESPRESSO input format:
```
&SYSTEM
  ibrav = 0, nat = 20, ntyp = 3
/
ATOMIC_SPECIES
I 126.90 I.upf
Pr 140.91 Pr.upf
Pt 195.08 Pt.upf
CELL_PARAMETERS angstrom
-1.552 5.960 9.197
-7.114 1.966 -6.916
-0.306 -9.922 1.938
ATOMIC_POSITIONS angstrom
I -5.527 0.728 2.957
I -4.258 0.911 -1.388
I -3.620 3.332 6.023
I -6.274 -1.775 -4.428
I -1.414 -0.148 4.387
I -7.559 -1.848 -0.167
I -6.430 4.328 0.462
I -3.446 -2.724 1.263
I -5.353 -5.327 -1.803
I -2.699 -0.221 8.648
I -4.715 -2.907 5.608
I -2.543 -6.324 3.758
Pr -2.113 3.156 8.934
Pr -0.776 2.980 4.599
Pr -2.522 0.366 1.323
Pr -6.450 -2.362 2.897
Pr -6.860 -5.152 -4.714
Pr -3.126 -3.457 8.608
Pr -5.846 1.462 -4.389
Pt 0.000 0.000 0.000
```

Properties
ρ: 5.3 g/cm3
symmetry: No. 148
N(E_F): 4.3 states/eV/cell
spin magnetization: 0.81 μB/f.u.
formation energy (no corrections): -127.6 kJ per mole of atoms

=====

Q: Look up the N(E_F) of the second one.
A: 4.3 states/eV/cell